The following is a GGA-PBE calculation of a geometry-optimized Pm2AlNi structure, from Alexandria via LeMat-Bulk.

Cell: 3.5332 3.5332 7.4078 Å, 90.00 90.00 90.00°
Element x y z (fractional)
Pm (0.0000, 0.0000, 0.2280)
Pm (0.0000, 0.0000, 0.7720)
Al (0.5000, 0.5000, 0.5000)
Ni (0.5000, 0.5000, 0.0000)

---

The following is a GGA-PBE calculation of a geometry-optimized DyHoTmCd structure, from Alexandria via LeMat-Bulk.

Computed properties:
- energy relative to the lowest polymorph listed for this composition (eV/atom) = 0.115

Cell: 5.4062 5.4062 5.4062 Å, 60.00 60.00 60.00°
Element x y z (fractional)
Dy (0.0000, 0.0000, 0.0000)
Ho (0.5000, 0.5000, 0.5000)
Tm (0.7500, 0.7500, 0.7500)
Cd (0.2500, 0.2500, 0.2500)

---

Total DFT energy (no corrections) (eV per cell)
-20.2; -14.7